1.
A geometry-optimized AcDy5Au6 structure, computed with PBE.

a = 5.1612 Å, b = 7.2687 Å, c = 8.2259 Å
α = 90.00°, β = 108.02°, γ = 90.00°
Last column: nearest neighbours and their distance in Å.
Space group P2/m (No. 10)
Unique sites:
Ac 0.0000 0.0000 0.0000  8 Au 3.26-3.32, 2 Dy 3.63
Dy 0.0000 0.5000 0.0000  8 Au 3.06-3.26
Dy 0.3298 0.0000 0.6602  8 Au 3.07-3.32
Dy 0.3342 0.5000 0.6696  8 Au 3.05-3.13
Au 0.1764 0.2584 0.3505  7 Dy 3.05-3.26, 1 Ac 3.32
Au 0.5000 0.2736 0.0000  6 Dy 3.06-3.32, 2 Ac 3.26, 1 Au 3.29

2.
A geometry-optimized Na2AlGe structure, computed with PBE.

Values from the calculation:
Distance to the lowest polymorph of the same formula   265 meV/atom

a = 7.0857 Å, b = 7.0857 Å, c = 7.0857 Å
α = 90.00°, β = 90.00°, γ = 90.00°
Last column: nearest neighbours and their distance in Å.
Space group Fm-3m (No. 225)
Unique sites:
Na 0.2500 0.2500 0.2500  4 Ge 3.07, 4 Al 3.07
Al 0.0000 0.0000 0.0000  8 Na 3.07
Ge 0.0000 0.0000 0.5000  8 Na 3.07

Short version: electronic total energy = -4.723; -2.526 eV/atom, in the order given.
Short version: ΔH_f (0 K) = -0.824; 0.223 eV/atom, in the order given.